# PaAlCo (GGA-PBE, relaxed)
# energy above the lowest structure with this stoichiometry = 989 meV/atom
# size of the total moment = 0.10 μB/f.u.
data_PaAlCo
_chemical_formula_sum 'Pa4 Al4 Co4'
_symmetry_space_group_name_H-M 'F -4 3 m'
_symmetry_Int_Tables_number 216
_symmetry_space_group_name_Hall 'F -4 2 3'
_cell_length_a 6.4010
_cell_length_b 6.4010
_cell_length_c 6.4010
_cell_angle_alpha 90.00
_cell_angle_beta 90.00
_cell_angle_gamma 90.00
loop_
_atom_site_label
_atom_site_fract_x
_atom_site_fract_y
_atom_site_fract_z
_atom_site_occupancy
Pa1 0.0000 0.0000 0.0000 1
Al1 0.2500 0.2500 0.7500 1
Co1 0.2500 0.2500 0.2500 1